[1]
Compound: UMn2GaO8
Source: the Alexandria database
Functional: GGA+U
Structure: relaxed

Lattice parameters (Å, degrees): 5.7662 5.7662 5.7662 110.79 110.79 106.86
With the nearest neighbours (Å) after each atom.
Fractional coordinates of all 12 atoms:
U  0.0000  0.0000  0.0000  4 O 2.03
Mn  0.7500  0.2500  0.5000  4 O 1.90
Mn  0.5000  0.5000  0.0000  4 O 1.83
Ga  0.2500  0.7500  0.5000  4 O 2.05
O  0.3501  0.0440  0.3061  1 Mn 1.90, 1 U 2.03
O  0.3065  0.4994  0.1929  1 Mn 1.83, 1 Ga 2.05
O  0.3065  0.1136  0.8071  1 Mn 1.83, 1 Ga 2.05
O  0.7380  0.0440  0.6939  1 Mn 1.90, 1 U 2.03
O  0.8864  0.6935  0.1929  1 Mn 1.83, 1 Ga 2.05
O  0.9560  0.2620  0.3061  1 Mn 1.90, 1 U 2.03
O  0.9560  0.6499  0.6939  1 Mn 1.90, 1 U 2.03
O  0.5006  0.6935  0.8071  1 Mn 1.83, 1 Ga 2.05

Values from the calculation:
symmetry: I-4m2

=====

[2]
Compound: BaSrMn2Al9PbO20
Source: the Alexandria database
Functional: GGA+U
Structure: relaxed

Lattice parameters (Å, degrees): 5.0382 9.6860 9.7859 72.47 75.63 74.91
With the nearest neighbours (Å) after each atom.
Fractional coordinates of all 34 atoms:
Ba  0.9927  0.0056  0.9991  6 O 2.68-2.96
Sr  0.2605  0.7171  0.7300  5 O 2.50-2.70
Mn  0.0053  0.5027  0.4947  6 O 1.89-1.97
Mn  0.4978  0.3622  0.6345  5 O 1.96-2.14
Al  0.3731  0.0080  0.2884  4 O 1.76-1.81
Al  0.3544  0.2871  0.0167  4 O 1.75-1.78
Al  0.6372  0.9843  0.7127  4 O 1.75-1.81
Al  0.6256  0.7147  0.9910  4 O 1.76-1.81
Al  0.9031  0.8487  0.4267  4 O 1.75-1.81
Al  0.8829  0.4256  0.8520  4 O 1.75-1.81
Al  0.1087  0.1442  0.5746  4 O 1.76-1.81
Al  0.0971  0.5788  0.1547  4 O 1.77-1.82
Al  0.5076  0.6382  0.3607  6 O 1.91-2.05
Pb  0.7719  0.2782  0.2763  3 O 2.38-2.42
O  0.8630  0.8742  0.6013  2 Al 1.75
O  0.8359  0.6028  0.8769  2 Al 1.75-1.76
O  0.1428  0.1191  0.4002  2 Al 1.76-1.77
O  0.1348  0.4022  0.1272  2 Al 1.77
O  0.2423  0.3068  0.5478  1 Al 1.79, 2 Mn 1.96
O  0.2486  0.5587  0.3086  2 Al 1.79-1.91, 1 Mn 1.94
O  0.7564  0.6915  0.4488  2 Al 1.79-1.93, 1 Mn 1.93
O  0.7592  0.4517  0.6856  1 Al 1.81, 2 Mn 1.97-1.98
O  0.2872  0.9996  0.6987  2 Al 1.76-1.77
O  0.2733  0.7021  0.0082  2 Al 1.77-1.78
O  0.7262  0.9872  0.2973  2 Al 1.76
O  0.7059  0.2986  0.9892  2 Al 1.75-1.76
O  0.7448  0.1605  0.6614  2 Al 1.81, 1 Mn 2.01
O  0.7310  0.6698  0.1659  3 Al 1.81-1.94
O  0.2707  0.8303  0.3434  3 Al 1.81-1.92
O  0.2406  0.3373  0.8467  2 Al 1.78
O  0.7579  0.4466  0.4135  1 Mn 1.89, 1 Al 1.96
O  0.2744  0.5649  0.5615  2 Mn 1.93-2.01, 1 Al 2.05
O  0.6631  0.8972  0.8961  2 Al 1.76-1.77
O  0.3241  0.1033  0.1097  2 Al 1.76-1.77

Values from the calculation:
symmetry: P1

=====

| no. | uncorrected energy (eV for the cell shown) |
| --- | --- |
| 1 | -89.9 |
| 2 | -246.5 |